# ZrCoIO2 PBE+U optimized geometry
# - Final energy: -31.68 eV for the cell shown
# - D(E_F): 0.9 states/eV/cell
data_ZrCoIO2
_space_group_name_H-M_alt 'P 4/m m m'
_space_group_IT_number 123
_space_group_name_Hall '-P 4 2'
_cell_length_a 4.066
_cell_length_b 4.066
_cell_length_c 6.276
_cell_angle_alpha 90.00
_cell_angle_beta 90.00
_cell_angle_gamma 90.00
loop_
_atom_site_label
_atom_site_fract_x
_atom_site_fract_y
_atom_site_fract_z
_atom_site_occupancy
Zr1 0.000 0.000 0.000 1
Co1 0.500 0.500 0.500 1
I1 0.000 0.000 0.500 1
O1 0.000 0.500 0.000 1